VASP calculation (SCAN) on a crystal of LiNi2Hg relaxed with PBEsol.

Fermi-level density of states, states/eV per atom: 0.62
Magnetic moment, μB/cell: 0.00
Raw total energy, eV per atom: -25.6708
Calculated formation energy, eV/atom: 0.05

abc: 4.647 4.647 4.647
angles: 134.04 133.85 67.17
Fractional coordinates of all 4 atoms:
Li: 0.000 0.000 0.000
Ni: 0.250 0.750 0.500
Ni: 0.750 0.250 0.500
Hg: 0.500 0.500 0.000